Here is a relaxed RbY2ScNi crystal from the Alexandria database. Energies are from PBE-GGA.

Cell and atoms, written as CIF:
```
data_RbY2ScNi
_chemical_formula_sum 'Rb1 Y2 Sc1 Ni1'
_cell_length_a 5.4969
_cell_length_b 5.4969
_cell_length_c 5.1869
_cell_angle_alpha 90.00
_cell_angle_beta 90.00
_cell_angle_gamma 90.00
_symmetry_space_group_name_H-M 'P 4/m m m'
_symmetry_Int_Tables_number 123
_symmetry_space_group_name_Hall '-P 4 2'
loop_
_atom_site_label
_atom_site_fract_x
_atom_site_fract_y
_atom_site_fract_z
Rb1 0.0000 0.0000 0.0000
Y1 0.0000 0.5000 0.5000
Sc1 0.5000 0.5000 0.0000
Ni1 0.5000 0.5000 0.5000
```

Formation energy from the elements, meV per atom: 214
M_tot, μB per atom: 0.00